Rb2Hg3Cl9 | Alexandria | PBE | relaxed; formation energy (no corrections) = -0.886 eV/atom; ρ = 3.25 g/cm3; total DFT energy (no corrections) = -2.28 eV per atom; total moment = 0.0 μB/cell
1.0
9.3723 -4.9489 0.0000
9.3723 4.9489 0.0000
-7.8381 0.0000 12.0096
Rb Hg Cl
4 6 18
direct
0.0506 0.3581 0.3161
0.3581 0.0506 0.8161
0.6419 0.9494 0.1839
0.9494 0.6419 0.6839
0.0000 0.5000 0.0000
0.0875 0.8042 0.5425
0.1958 0.9125 0.9575
0.5000 0.0000 0.5000
0.8042 0.0875 0.0425
0.9125 0.1958 0.4575
0.0321 0.9080 0.3671
0.0920 0.9679 0.1329
0.1114 0.4480 0.8727
0.1619 0.2591 0.5424
0.2402 0.7598 0.7500
0.2591 0.1619 0.0424
0.2831 0.5494 0.4702
0.4480 0.1114 0.3727
0.4506 0.7169 0.0298
0.5494 0.2831 0.9702
0.5520 0.8886 0.6273
0.7169 0.4506 0.5298
0.7409 0.8381 0.9576
0.7598 0.2402 0.2500
0.8381 0.7409 0.4576
0.8886 0.5520 0.1273
0.9080 0.0321 0.8671
0.9679 0.0920 0.6329

=====

RbHgCl | Alexandria | PBE | relaxed; offset from the most stable computed form = 61 meV/atom; formation energy (no corrections) = -1.169 eV/atom; ρ = 3.43 g/cm3; total DFT energy (no corrections) = -2.21 eV per atom; total moment = 0.0 μB/cell
1.0
-2.2756 2.2756 7.5242
2.2756 -2.2756 7.5242
2.2756 2.2756 -7.5242
Rb Hg Cl
1 1 1
direct
0.0000 0.0000 0.0000
0.2585 0.2585 0.0000
0.4825 0.4825 0.0000

=====

RbHg2Cl7 | Alexandria | PBE | relaxed; formation energy (no corrections) = -0.578 eV/atom; ρ = 3.96 g/cm3; total DFT energy (no corrections) = -2.03 eV per atom; total moment = 1.3 μB/cell
1.0
3.9469 -7.5321 0.0000
3.9469 7.5321 0.0000
0.0000 0.0000 5.1881
Rb Hg Cl
1 2 7
direct
0.0000 0.0000 0.0000
0.2560 0.7440 0.5000
0.7440 0.2560 0.5000
0.1147 0.3648 0.5000
0.2344 0.7656 0.0000
0.3648 0.1147 0.5000
0.5000 0.5000 0.5000
0.6352 0.8853 0.5000
0.7656 0.2344 0.0000
0.8853 0.6352 0.5000

=====

RbHg2Cl4 | Alexandria | PBE | relaxed; formation energy (no corrections) = -0.810 eV/atom; ρ = 3.51 g/cm3; total DFT energy (no corrections) = -2.09 eV per atom; total moment = 0.0 μB/cell
1.0
6.2791 0.0000 0.0000
0.0000 6.2791 0.0000
0.0000 0.0000 7.5372
Rb Hg Cl
1 2 4
direct
0.0000 0.0000 0.0000
0.0000 0.5000 0.5000
0.5000 0.0000 0.5000
0.2603 0.2603 0.3023
0.2603 0.7397 0.6977
0.7397 0.2603 0.6977
0.7397 0.7397 0.3023

=====

Rb2Hg2Cl | Alexandria | PBE | relaxed; offset from the most stable computed form = 0 meV/atom; formation energy (no corrections) = -0.841 eV/atom; ρ = 5.36 g/cm3; total DFT energy (no corrections) = -1.72 eV per atom; total moment = 0.0 μB/cell
1.0
-2.1708 2.1708 9.9875
2.1708 -2.1708 9.9875
2.1708 2.1708 -9.9875
Rb Hg Cl
2 2 1
direct
0.0949 0.0949 0.0000
0.9051 0.9051 0.0000
0.2500 0.7500 0.5000
0.7500 0.2500 0.5000
0.5000 0.5000 0.0000

=====

RbHgCl3 | Alexandria | PBE | relaxed; formation energy (no corrections) = -1.160 eV/atom; ρ = 3.79 g/cm3; total DFT energy (no corrections) = -2.52 eV per atom; total moment = 0.0 μB/cell
1.0
4.9059 0.0000 0.0000
0.0572 8.6005 0.0000
0.0498 2.7571 8.1523
Rb Hg Cl
2 2 6
direct
0.2485 0.2309 0.2306
0.7515 0.7691 0.7694
0.4986 0.3042 0.6959
0.5014 0.6958 0.3041
0.2522 0.0682 0.6653
0.2529 0.6659 0.0683
0.2603 0.6009 0.6005
0.7397 0.3991 0.3995
0.7471 0.3341 0.9317
0.7478 0.9318 0.3347

=====

Rb2Hg2Cl | Alexandria | PBE | relaxed; offset from the most stable computed form = 277 meV/atom; formation energy (no corrections) = -0.564 eV/atom; ρ = 4.29 g/cm3; total DFT energy (no corrections) = -1.44 eV per atom; total moment = 0.0 μB/cell
1.0
-3.4616 3.4616 4.9105
3.4616 -3.4616 4.9105
3.4616 3.4616 -4.9105
Rb Hg Cl
2 2 1
direct
0.2500 0.7500 0.5000
0.7500 0.2500 0.5000
0.1546 0.1546 0.0000
0.8454 0.8454 0.0000
0.5000 0.5000 0.0000

=====

RbHg3Cl | Alexandria | PBE | relaxed; offset from the most stable computed form = 114 meV/atom; formation energy (no corrections) = -0.182 eV/atom; ρ = 3.81 g/cm3; total DFT energy (no corrections) = -0.93 eV per atom; total moment = 0.0 μB/cell
1.0
6.8025 0.0000 0.0000
0.0000 6.8025 0.0000
0.0000 0.0000 6.8025
Rb Hg Cl
1 3 1
direct
0.0000 0.0000 0.0000
0.0000 0.0000 0.5000
0.0000 0.5000 0.0000
0.5000 0.0000 0.0000
0.5000 0.5000 0.5000

=====

Question: Which formula does entry 3 have?
Answer: RbHg2Cl7